# Ni2OsPt

A relaxed Ni2OsPt crystal (PBEsol, Alexandria via LeMat-Bulk).

The structure belongs to space group Fm-3m (No. 225); the cell edges are 5.8279, 5.8279 and 5.8279 Å and the angles 90.00°, 90.00° and 90.00°. The asymmetric unit holds Ni at (0.2500, 0.2500, 0.2500), Os at (0.0000, 0.0000, 0.0000) and Pt at (0.0000, 0.0000, 0.5000).

The energy relative to the elements comes out at 0.7 eV/f.u. The calculation puts the energy at -7.69 eV per atom. The mass density is 16.9 Mg/m³.